# LiNi2S3O12

A relaxed LiNi2S3O12 crystal (PBE with a Hubbard U, Alexandria).

Offset from the most stable computed form   0.000 eV per atom
Symmetry   R-3c (167)

Cell lengths 8.652, 8.652, 8.652 Å; angles 59.68, 59.68, 59.68 degrees
Atoms (fractional coordinates):
Li 0.000 0.000 0.000
Li 0.500 0.500 0.500
Ni 0.145 0.145 0.145
Ni 0.355 0.355 0.355
Ni 0.645 0.645 0.645
Ni 0.855 0.855 0.855
S 0.048 0.750 0.452
S 0.250 0.548 0.952
S 0.452 0.048 0.750
S 0.548 0.952 0.250
S 0.750 0.452 0.048
S 0.952 0.250 0.548
O 0.011 0.811 0.601
O 0.067 0.906 0.263
O 0.094 0.737 0.933
O 0.101 0.311 0.511
O 0.189 0.399 0.989
O 0.237 0.594 0.433
O 0.263 0.067 0.906
O 0.311 0.511 0.101
O 0.399 0.989 0.189
O 0.406 0.567 0.763
O 0.433 0.237 0.594
O 0.489 0.899 0.689
O 0.511 0.101 0.311
O 0.567 0.763 0.406
O 0.594 0.433 0.237
O 0.601 0.011 0.811
O 0.689 0.489 0.899
O 0.737 0.933 0.094
O 0.763 0.406 0.567
O 0.811 0.601 0.011
O 0.899 0.689 0.489
O 0.906 0.263 0.067
O 0.933 0.094 0.737
O 0.989 0.189 0.399